Entry from Alexandria via LeMat-Bulk: a PBEsol-optimized structure of CrInRu (meta-GGA SCAN).

a b c (Å): 4.2236 4.2236 2.9100
angles (deg): 90.00 90.00 120.00
With the nearest neighbours (Å) after each atom.
Fractional coordinates of all 3 atoms:
Cr (0.0000, 0.0000, 0.0000)  3 Ru 2.46
In (0.3333, 0.6667, 0.5555)  6 Cr 2.76-2.93, 6 Ru 2.78-2.91, 2 In 2.91
Ru (0.6667, 0.3333, 0.0986)  3 Cr 2.46

ΔH_f (0 K), eV/atom: 0.265
Volume, Å³/f.u.: 45.0
SG: P3m1